1) Entry from the Alexandria database: an optimized crystal structure of NiRuRh (PBEsol).

Computed properties:
symmetry	No. 107
total magnetization	0.00	μB/cell
DOS(E_F)	1.474	states/eV per atom

```
NiRuRh
1.0
2.6343 0.0000 0.0000
0.0000 2.6343 0.0000
0.0000 0.0000 10.7912
Ni Ru Rh
2 2 2
Cartesian
0.0000 0.0000 0.0000
1.3171 1.3171 5.3956
0.0000 0.0000 3.6636
1.3171 1.3171 9.0592
0.0000 0.0000 7.2197
1.3171 1.3171 1.8240
```

***

2) Entry from the Alexandria database: an optimized crystal structure of NiRuRh (PBEsol).

Computed properties:
symmetry	No. 44
total magnetization	0.00	μB/cell
DOS(E_F)	1.074	states/eV per atom

```
NiRuRh
1.0
2.6422 0.0000 0.0000
0.0000 3.6419 0.0000
0.0000 0.0000 7.7521
Ni Ru Rh
2 2 2
Cartesian
0.0000 0.0000 0.0000
1.3211 1.8210 3.8760
0.0000 0.0000 2.6249
1.3211 1.8210 6.5010
0.0000 0.0000 5.1845
1.3211 1.8210 1.3084
```

***

Which of them is most stable? Easy: 2).

***

1) Entry from the Alexandria database: an optimized crystal structure of NiRh2Se (PBEsol).

Computed properties:
symmetry	No. 44
total magnetization	0.01	μB/cell
DOS(E_F)	1.497	states/eV per atom

```
NiRh2Se
1.0
2.8932 0.0000 0.0000
0.0000 4.2475 0.0000
0.0000 0.0000 8.7159
Ni Rh Se
2 4 2
Cartesian
0.0000 0.0000 0.0000
1.4466 2.1238 4.3579
0.0000 0.0000 4.7737
0.0000 2.1238 6.6762
1.4466 0.0000 2.3182
1.4466 2.1238 0.4157
0.0000 2.1238 2.4281
1.4466 0.0000 6.7861
```

***

2) Entry from the Alexandria database: an optimized crystal structure of NiRh2Se (PBEsol).

Computed properties:
symmetry	No. 65
total magnetization	0.02	μB/cell
DOS(E_F)	1.151	states/eV per atom

```
NiRh2Se
1.0
5.4717 0.0000 0.0000
0.0000 6.6414 0.0000
0.0000 0.0000 2.9499
Ni Rh Se
2 4 2
Cartesian
0.0000 0.0000 0.0000
2.7359 3.3207 0.0000
1.3679 1.6604 1.4749
1.3679 4.9811 1.4749
4.1038 1.6604 1.4749
4.1038 4.9811 1.4749
0.0000 3.3207 0.0000
2.7359 0.0000 0.0000
```

***

3) Entry from the Alexandria database: an optimized crystal structure of NiRh2Se (PBEsol).

Computed properties:
symmetry	No. 47
total magnetization	0.02	μB/cell
DOS(E_F)	1.194	states/eV per atom

```
NiRh2Se
1.0
3.1040 0.0000 0.0000
0.0000 3.1163 0.0000
0.0000 0.0000 5.5300
Ni Rh Se
1 2 1
Cartesian
0.0000 0.0000 0.0000
1.5520 1.5582 1.3187
1.5520 1.5582 4.2113
0.0000 0.0000 2.7650
```

***

Which of them is most stable? Easy: 3).

***

1) Entry from the Alexandria database: an optimized crystal structure of Ni2RhSe (PBEsol).

Computed properties:
symmetry	No. 160
total magnetization	2.25	μB/cell
DOS(E_F)	1.550	states/eV per atom

```
Ni2RhSe
1.0
2.8161 0.0000 0.0000
-1.4080 2.4388 0.0000
0.0000 0.0000 22.7004
Ni Rh Se
6 3 3
Cartesian
0.0000 0.0000 0.0000
0.0000 0.0000 5.7257
0.0000 1.6259 15.1336
0.0000 1.6259 20.8592
1.4080 0.8129 7.5668
1.4080 0.8129 13.2925
0.0000 0.0000 11.3194
0.0000 1.6259 3.7526
1.4080 0.8129 18.8862
0.0000 0.0000 16.8764
0.0000 1.6259 9.3096
1.4080 0.8129 1.7428
```

***

2) Entry from the Alexandria database: an optimized crystal structure of Ni2RhSe (PBEsol).

Computed properties:
symmetry	No. 119
total magnetization	0.01	μB/cell
DOS(E_F)	1.306	states/eV per atom

```
Ni2RhSe
1.0
3.6803 0.0000 0.0000
0.0000 3.6803 0.0000
0.0000 0.0000 7.3624
Ni Rh Se
4 2 2
Cartesian
0.0000 0.0000 0.0000
0.0000 1.8402 1.8406
1.8402 0.0000 5.5218
1.8402 1.8402 3.6812
0.0000 0.0000 3.6812
1.8402 1.8402 0.0000
0.0000 1.8402 5.5218
1.8402 0.0000 1.8406
```

***

3) Entry from the Alexandria database: an optimized crystal structure of Ni2RhSe (PBEsol).

Computed properties:
symmetry	No. 65
total magnetization	0.03	μB/cell
DOS(E_F)	1.082	states/eV per atom

```
Ni2RhSe
1.0
4.9650 0.0000 0.0000
0.0000 6.7012 0.0000
0.0000 0.0000 3.0442
Ni Rh Se
4 2 2
Cartesian
1.2412 1.6753 0.0000
1.2412 5.0259 0.0000
3.7237 1.6753 0.0000
3.7237 5.0259 0.0000
0.0000 0.0000 1.5221
2.4825 3.3506 1.5221
0.0000 3.3506 1.5221
2.4825 0.0000 1.5221
```

***

Which of them is most stable? Easy: 2).

***

1) Entry from the Alexandria database: an optimized crystal structure of TcNiRh2 (PBEsol).

Computed properties:
symmetry	No. 166
total magnetization	0.03	μB/cell
DOS(E_F)	1.309	states/eV per atom

```
TcNiRh2
1.0
2.6530 0.0000 0.0000
-1.3265 2.2975 0.0000
0.0000 0.0000 25.4880
Tc Ni Rh
3 3 6
Cartesian
0.0000 0.0000 0.0000
0.0000 1.5317 16.9920
1.3265 0.7658 8.4960
0.0000 0.0000 12.7440
0.0000 1.5317 4.2480
1.3265 0.7658 21.2400
0.0000 0.0000 6.3396
0.0000 0.0000 19.1484
0.0000 1.5317 10.6524
0.0000 1.5317 23.3316
1.3265 0.7658 2.1564
1.3265 0.7658 14.8356
```

***

2) Entry from the Alexandria database: an optimized crystal structure of TcNiRh2 (PBEsol).

Computed properties:
symmetry	No. 12
total magnetization	0.00	μB/cell
DOS(E_F)	1.259	states/eV per atom

```
TcNiRh2
1.0
8.7206 0.0000 0.0000
0.0000 2.6352 0.0000
-0.7834 0.0000 4.4758
Tc Ni Rh
2 2 4
Cartesian
0.0000 0.0000 0.0000
4.3603 1.3176 0.0000
-0.3917 1.3176 2.2379
3.9686 0.0000 2.2379
1.5880 0.0000 3.3480
1.9890 1.3176 1.1278
5.9483 1.3176 3.3480
6.3493 0.0000 1.1278
```

***

Which of them is most stable? Easy: 2).